No. 1
# AcLaTb5Pr2 | Alexandria | GGA-PBE | relaxed
data_AcLaTb5Pr2
_chemical_formula_sum 'Ac4 La4 Tb20 Pr8'
_cell_length_a 8.8825
_cell_length_b 8.8825
_cell_length_c 16.0086
_cell_angle_alpha 90.00
_cell_angle_beta 90.00
_cell_angle_gamma 90.00
_space_group_name_H-M_alt 'I 4/m c m'
_space_group_IT_number 140
_space_group_name_Hall '-I 4 2c'
loop_
_atom_site_label
_atom_site_type_symbol
_atom_site_fract_x
_atom_site_fract_y
_atom_site_fract_z
_atom_site_occupancy
Ac1 Ac 0.0000 0.0000 0.2500 1
La1 La 0.0000 0.5000 0.2500 1
Tb1 Tb 0.0000 0.0000 0.0000 1
Tb2 Tb 0.2050 0.2950 0.1328 1
Pr1 Pr 0.1188 0.3812 0.5000 1
# ΔH_f (0 K): 0.23 eV per atom

---

No. 2
# Ce2As4Rh3Au | Alexandria | GGA-PBE | relaxed
data_Ce2As4Rh3Au
_chemical_formula_sum 'Ce2 As4 Rh3 Au1'
_cell_length_a 4.3935
_cell_length_b 4.3935
_cell_length_c 9.8725
_cell_angle_alpha 90.00
_cell_angle_beta 90.00
_cell_angle_gamma 90.00
_space_group_name_H-M_alt 'P -4 m 2'
_space_group_IT_number 115
loop_
_space_group_symop_operation_xyz
'x,y,z'
'y,-x,-z'
'-x,-y,z'
'-y,x,-z'
'-x,y,z'
'-y,-x,-z'
'x,-y,z'
'y,x,-z'
loop_
_atom_site_label
_atom_site_type_symbol
_atom_site_fract_x
_atom_site_fract_y
_atom_site_fract_z
_atom_site_occupancy
Ce1 Ce 0.0000 0.5000 0.2418 1
As1 As 0.0000 0.0000 0.0000 1
As2 As 0.0000 0.5000 0.6421 1
As3 As 0.5000 0.5000 0.0000 1
Rh1 Rh 0.0000 0.5000 0.8863 1
Rh2 Rh 0.5000 0.5000 0.5000 1
Au1 Au 0.0000 0.0000 0.5000 1
# ΔH_f (0 K): -0.81 eV per atom

---

No. 3
# Cs8Sb2F | Alexandria | GGA-PBE | relaxed
data_Cs8Sb2F
_chemical_formula_sum 'Cs16 Sb4 F2'
_cell_length_a 22.9193
_cell_length_b 6.5618
_cell_length_c 8.5190
_cell_angle_alpha 90.00
_cell_angle_beta 103.23
_cell_angle_gamma 90.00
_space_group_name_H-M_alt 'C 1 2/m 1'
_space_group_IT_number 12
loop_
_space_group_symop_operation_xyz
'x,y,z'
'-x,-y,-z'
'-x,y,-z'
'x,-y,z'
'x+1/2,y+1/2,z'
'-x+1/2,-y+1/2,-z'
'-x+1/2,y+1/2,-z'
'x+1/2,-y+1/2,z'
loop_
_atom_site_label
_atom_site_type_symbol
_atom_site_fract_x
_atom_site_fract_y
_atom_site_fract_z
_atom_site_occupancy
Cs1 Cs 0.0296 0.0000 0.2852 1
Cs2 Cs 0.0870 0.5000 0.8226 1
Cs3 Cs 0.1722 0.5000 0.4176 1
Cs4 Cs 0.2241 0.0000 0.1355 1
Sb1 Sb 0.1626 0.0000 0.6738 1
F1 F 0.0000 0.5000 0.0000 1
# Formation energy without anion corrections: -0.66 eV per atom

---

No. 4
# Ti3SnF | Alexandria | GGA-PBE | relaxed
data_Ti3SnF
_chemical_formula_sum 'Ti3 Sn1 F1'
_cell_length_a 5.2450
_cell_length_b 5.2450
_cell_length_c 5.2450
_cell_angle_alpha 90.00
_cell_angle_beta 90.00
_cell_angle_gamma 90.00
_space_group_name_H-M_alt 'P m -3 m'
_space_group_IT_number 221
_space_group_name_Hall '-P 4 2 3'
loop_
_atom_site_label
_atom_site_type_symbol
_atom_site_fract_x
_atom_site_fract_y
_atom_site_fract_z
_atom_site_occupancy
Ti1 Ti 0.0000 0.0000 0.5000 1
Sn1 Sn 0.0000 0.0000 0.0000 1
F1 F 0.5000 0.5000 0.5000 1
# Formation energy without anion corrections: 0.81 eV per atom
# Polymorph energy (0 for the lowest one): 1.492 eV/atom

---

No. 5
# LiPaN2 | Alexandria | GGA-PBE | relaxed
data_LiPaN2
_chemical_formula_sum 'Li3 Pa3 N6'
_cell_length_a 3.5637
_cell_length_b 3.5637
_cell_length_c 15.0628
_cell_angle_alpha 90.00
_cell_angle_beta 90.00
_cell_angle_gamma 120.00
_space_group_name_H-M_alt 'R -3 m'
_space_group_IT_number 166
_space_group_name_Hall '-R 3 2"'
loop_
_atom_site_label
_atom_site_type_symbol
_atom_site_fract_x
_atom_site_fract_y
_atom_site_fract_z
_atom_site_occupancy
Li1 Li 0.0000 0.0000 0.0000 1
Pa1 Pa 0.0000 0.0000 0.5000 1
N1 N 0.0000 0.0000 0.2356 1
# Formation energy without anion corrections: -1.30 eV per atom
# Polymorph energy (0 for the lowest one): 0.129 eV/atom

---

No. 6
# Na8B13C3 | Alexandria | GGA-PBE | relaxed
data_Na8B13C3
_chemical_formula_sum 'Na8 B13 C3'
_cell_length_a 2.7978
_cell_length_b 8.6744
_cell_length_c 10.6634
_cell_angle_alpha 90.00
_cell_angle_beta 90.00
_cell_angle_gamma 90.00
_space_group_name_H-M_alt 'P m m 2'
_space_group_IT_number 25
loop_
_space_group_symop_operation_xyz
'x,y,z'
'-x,-y,z'
'-x,y,z'
'x,-y,z'
loop_
_atom_site_label
_atom_site_type_symbol
_atom_site_fract_x
_atom_site_fract_y
_atom_site_fract_z
_atom_site_occupancy
Na1 Na 0.0000 0.2470 0.0000 1
Na2 Na 0.0000 0.2490 0.5039 1
Na3 Na 0.5000 0.2479 0.2519 1
Na4 Na 0.5000 0.2509 0.7531 1
B1 B 0.0000 0.0000 0.1709 1
B2 B 0.0000 0.0000 0.3305 1
B3 B 0.0000 0.0000 0.6876 1
B4 B 0.0000 0.5000 0.1656 1
B5 B 0.0000 0.5000 0.3290 1
B6 B 0.0000 0.5000 0.8337 1
B7 B 0.5000 0.0000 0.0700 1
B8 B 0.5000 0.0000 0.4284 1
B9 B 0.5000 0.0000 0.5870 1
B10 B 0.5000 0.0000 0.9086 1
B11 B 0.5000 0.5000 0.0589 1
B12 B 0.5000 0.5000 0.4371 1
B13 B 0.5000 0.5000 0.6044 1
C1 C 0.0000 0.0000 0.8335 1
C2 C 0.0000 0.5000 0.6810 1
C3 C 0.5000 0.5000 0.9119 1
# ΔH_f (0 K): 0.19 eV per atom
# Polymorph energy (0 for the lowest one): 0.004 eV/atom

---

No. 7
# MgReP | Alexandria | GGA-PBE | relaxed
data_MgReP
_chemical_formula_sum 'Mg4 Re4 P4'
_cell_length_a 3.1299
_cell_length_b 4.8988
_cell_length_c 12.5783
_cell_angle_alpha 90.00
_cell_angle_beta 90.00
_cell_angle_gamma 90.00
_space_group_name_H-M_alt 'F m m 2'
_space_group_IT_number 42
_space_group_name_Hall 'F 2 -2'
loop_
_atom_site_label
_atom_site_type_symbol
_atom_site_fract_x
_atom_site_fract_y
_atom_site_fract_z
_atom_site_occupancy
Mg1 Mg 0.0000 0.0000 0.0000 1
Re1 Re 0.0000 0.0000 0.3172 1
P1 P 0.0000 0.0000 0.6806 1
# ΔH_f (0 K): 0.21 eV per atom
# Polymorph energy (0 for the lowest one): 0.488 eV/atom

---

No. 8
# SmDy4TmSe8 | Alexandria | GGA-PBE | relaxed
data_SmDy4TmSe8
_chemical_formula_sum 'Sm3 Dy12 Tm3 Se24'
_cell_length_a 8.4357
_cell_length_b 8.4357
_cell_length_c 20.6020
_cell_angle_alpha 90.00
_cell_angle_beta 90.00
_cell_angle_gamma 120.00
_space_group_name_H-M_alt 'R 3 m'
_space_group_IT_number 160
_space_group_name_Hall 'R 3 -2"'
loop_
_atom_site_label
_atom_site_type_symbol
_atom_site_fract_x
_atom_site_fract_y
_atom_site_fract_z
_atom_site_occupancy
Sm1 Sm 0.0000 0.0000 0.0000 1
Dy1 Dy 0.0000 0.0000 0.2487 1
Dy2 Dy 0.0014 0.5007 0.1245 1
Tm1 Tm 0.0000 0.0000 0.6241 1
Se1 Se 0.0000 0.0000 0.3810 1
Se2 Se 0.0000 0.0000 0.8653 1
Se3 Se 0.0282 0.5141 0.3764 1
Se4 Se 0.1778 0.3556 0.2066 1
# Formation energy without anion corrections: -1.71 eV per atom

---

No. 9
# SmPaAsO2 | Alexandria | GGA-PBE | relaxed
data_SmPaAsO2
_chemical_formula_sum 'Sm2 Pa2 As2 O4'
_cell_length_a 3.8338
_cell_length_b 3.8338
_cell_length_c 12.2950
_cell_angle_alpha 90.00
_cell_angle_beta 90.00
_cell_angle_gamma 90.00
_space_group_name_H-M_alt 'I 4 m m'
_space_group_IT_number 107
_space_group_name_Hall 'I 4 -2'
loop_
_atom_site_label
_atom_site_type_symbol
_atom_site_fract_x
_atom_site_fract_y
_atom_site_fract_z
_atom_site_occupancy
Sm1 Sm 0.0000 0.0000 0.0000 1
Pa1 Pa 0.0000 0.0000 0.7122 1
As1 As 0.0000 0.0000 0.3547 1
O1 O 0.0000 0.5000 0.1144 1
# Formation energy without anion corrections: -2.65 eV per atom

---

No. 10
# BeTe2Mo | Alexandria | GGA-PBE | relaxed
data_BeTe2Mo
_chemical_formula_sum 'Be2 Te4 Mo2'
_cell_length_a 6.6333
_cell_length_b 6.8696
_cell_length_c 3.4043
_cell_angle_alpha 90.00
_cell_angle_beta 98.68
_cell_angle_gamma 90.00
_space_group_name_H-M_alt 'C 1 2/m 1'
_space_group_IT_number 12
loop_
_space_group_symop_operation_xyz
'x,y,z'
'-x,-y,-z'
'-x,y,-z'
'x,-y,z'
'x+1/2,y+1/2,z'
'-x+1/2,-y+1/2,-z'
'-x+1/2,y+1/2,-z'
'x+1/2,-y+1/2,z'
loop_
_atom_site_label
_atom_site_type_symbol
_atom_site_fract_x
_atom_site_fract_y
_atom_site_fract_z
_atom_site_occupancy
Be1 Be 0.0000 0.0000 0.0000 1
Te1 Te 0.2500 0.2500 0.5000 1
Mo1 Mo 0.0000 0.5000 0.0000 1
# Formation energy without anion corrections: 0.69 eV per atom

---

No. 11
# BeP2Br | Alexandria | GGA-PBE | relaxed
data_BeP2Br
_chemical_formula_sum 'Be2 P4 Br2'
_cell_length_a 2.9926
_cell_length_b 4.4983
_cell_length_c 9.8390
_cell_angle_alpha 90.00
_cell_angle_beta 90.00
_cell_angle_gamma 90.00
_space_group_name_H-M_alt 'I m m m'
_space_group_IT_number 71
_space_group_name_Hall '-I 2 2'
loop_
_atom_site_label
_atom_site_type_symbol
_atom_site_fract_x
_atom_site_fract_y
_atom_site_fract_z
_atom_site_occupancy
Be1 Be 0.0000 0.0000 0.0000 1
P1 P 0.0000 0.5000 0.3113 1
Br1 Br 0.0000 0.0000 0.5000 1
# Formation energy without anion corrections: 0.63 eV per atom
# Polymorph energy (0 for the lowest one): 0.863 eV/atom

---

Respective calculated volume values: 35.08, 19.06, 56.69, 28.86, 13.81, 10.78, 16.07, 30.23, 18.07, 19.17, 16.56 A^3/atom.